Computed, not measured: crystalline SrAl2Tl at its relaxed geometry at the GGA-PBE level of DFT.

Output
Its space group is Imm2 (44). The value obtained for the magnetic moment is 0.0 Bohr magnetons per cell. As for the excess energy over the best structure of this formula in the dataset: 0.57 eV per formula unit. The energy relative to the elements is -0.0208 eV per atom. For the volume, the calculation gives 112.1 Å³/f.u.

Cell lengths 6.2975, 6.2975, 6.2975 Å; angles 139.06, 136.15, 61.54 degrees
Last column: nearest neighbours and their distance in Å.
Positions (direct):
Sr: 0.5317 0.5317 0.0000  4 Tl 3.36-3.73, 8 Al 3.41-3.55
Tl: 0.2535 0.7535 0.5000  6 Al 3.02-3.24, 2 Sr 3.36
Al: 0.9283 0.9283 0.0000  2 Al 2.68
Al: 0.7865 0.2865 0.5000  2 Al 2.68

Computed, not measured: crystalline Pu3Pa3Ge4 at its relaxed geometry at the GGA-PBE level of DFT.

Output
Its space group is Amm2 (38). The value obtained for the magnetic moment is 18.3 Bohr magnetons per cell. The energy relative to the elements is -0.3816 eV per atom. For the volume, the calculation gives 232.7 Å³/f.u.

Cell lengths 4.0456, 7.5846, 7.5846 Å; angles 88.93, 90.00, 90.00 degrees
Last column: nearest neighbours and their distance in Å.
Positions (direct):
Pu: 0.5000 0.8260 0.1740  6 Ge 2.97-3.08
Pu: 0.5000 0.3207 0.3278  6 Ge 2.97-3.08
Pu: 0.5000 0.6722 0.6793  6 Ge 2.97-3.08
Pa: 0.0000 0.5053 0.0032  4 Ge 2.98-3.04
Pa: 0.0000 0.9968 0.4947  4 Ge 2.98-3.04
Pa: 0.5000 0.1764 0.8236  6 Ge 2.90-3.04
Ge: 0.0000 0.6219 0.3781  1 Ge 2.65, 2 Pu 2.97
Ge: 0.0000 0.3725 0.6275  1 Ge 2.65, 2 Pa 2.90
Ge: 0.0000 0.8806 0.8723  1 Ge 2.68, 2 Pu 2.97, 1 Pa 2.98
Ge: 0.0000 0.1277 0.1194  1 Ge 2.68, 2 Pu 2.97, 1 Pa 2.98

Computed, not measured: crystalline FeCuPd2Pt at its relaxed geometry at the GGA-PBE level of DFT.

Output
Its space group is P2_1/m (11). The value obtained for the magnetic moment is 8.5 Bohr magnetons per cell. The energy relative to the elements is 0.1236 eV per atom. For the volume, the calculation gives 80.1 Å³/f.u.

Cell lengths 4.3436, 6.7732, 5.5500 Å; angles 101.07, 90.00, 90.00 degrees
Last column: nearest neighbours and their distance in Å.
Positions (direct):
Fe: 0.2500 0.7946 0.9654  3 Pt 2.44-2.66, 1 Cu 2.60, 2 Pd 2.64
Fe: 0.7500 0.2054 0.0346  3 Pt 2.44-2.66, 1 Cu 2.60, 2 Pd 2.64
Cu: 0.2500 0.7845 0.4317  3 Pt 2.50-2.66, 1 Fe 2.60, 4 Pd 2.66-2.70
Cu: 0.7500 0.2155 0.5683  3 Pt 2.50-2.66, 1 Fe 2.60, 4 Pd 2.66-2.70
Pd: 0.7500 0.5538 0.3867  3 Cu 2.66-2.67, 6 Pd 2.68-2.80, 1 Pt 2.73, 1 Fe 2.76
Pd: 0.2500 0.4462 0.6133  3 Cu 2.66-2.67, 6 Pd 2.68-2.80, 1 Pt 2.73, 1 Fe 2.76
Pd: 0.7500 0.5708 0.8874  3 Fe 2.64-2.75, 6 Pd 2.69-2.80, 1 Cu 2.70, 1 Pt 2.70
Pd: 0.2500 0.4292 0.1126  3 Fe 2.64-2.75, 6 Pd 2.69-2.80, 1 Cu 2.70, 1 Pt 2.70
Pt: 0.2500 0.0874 0.7694  3 Fe 2.44-2.66, 3 Cu 2.50-2.66, 1 Pd 2.70
Pt: 0.7500 0.9126 0.2306  3 Fe 2.44-2.66, 3 Cu 2.50-2.66, 1 Pd 2.70

Computed, not measured: crystalline Pr8SmTm2 at its relaxed geometry at the GGA-PBE level of DFT.

Output
Its space group is Immm (71). The value obtained for the magnetic moment is 0.0 Bohr magnetons per cell. As for the excess energy over the best structure of this formula in the dataset: 0.00 eV per formula unit. The energy relative to the elements is 0.1067 eV per atom. For the volume, the calculation gives 389.0 Å³/f.u.

Cell lengths 5.7425, 8.3624, 9.5568 Å; angles 115.94, 107.48, 90.00 degrees
Last column: nearest neighbours and their distance in Å.
Positions (direct):
Pr: 0.6378 0.8416 0.2755  1 Sm 3.33, 4 Pr 3.41-3.64, 3 Tm 3.49-3.61
Pr: 0.3622 0.5661 0.7245  1 Sm 3.33, 4 Pr 3.41-3.64, 3 Tm 3.49-3.61
Pr: 0.1635 0.1635 0.3271  8 Pr 3.62-3.81, 2 Tm 3.62, 2 Sm 3.91
Pr: 0.0000 0.2942 0.0000  7 Pr 3.44-3.64, 2 Tm 3.67, 2 Sm 3.78
Pr: 0.8365 0.8365 0.6729  8 Pr 3.62-3.81, 2 Tm 3.62, 2 Sm 3.91
Pr: 0.6378 0.4339 0.2755  1 Sm 3.33, 4 Pr 3.41-3.64, 3 Tm 3.49-3.61
Pr: 0.3622 0.1584 0.7245  1 Sm 3.33, 4 Pr 3.41-3.64, 3 Tm 3.49-3.61
Pr: 0.0000 0.7058 0.0000  7 Pr 3.44-3.64, 2 Tm 3.67, 2 Sm 3.78
Sm: 0.5000 0.0000 0.0000  4 Pr 3.33
Tm: 0.2001 0.7001 0.4002  10 Pr 3.49-3.67
Tm: 0.7999 0.2999 0.5998  10 Pr 3.49-3.67

Computed, not measured: crystalline TmGe2Pd7 at its relaxed geometry at the GGA-PBE level of DFT.

Output
Its space group is Cmmm (65). The value obtained for the magnetic moment is 0.0 Bohr magnetons per cell. As for the excess energy over the best structure of this formula in the dataset: 3.31 eV per formula unit. The energy relative to the elements is -0.3334 eV per atom. For the volume, the calculation gives 199.0 Å³/f.u.

Cell lengths 4.4598, 7.0958, 7.0958 Å; angles 117.60, 90.00, 90.00 degrees
Last column: nearest neighbours and their distance in Å.
Positions (direct):
Tm: 0.0000 0.0000 0.0000  10 Pd 2.77-3.00
Ge: 0.5000 0.6975 0.3025  7 Pd 2.40-2.60
Ge: 0.5000 0.3025 0.6975  7 Pd 2.40-2.60
Pd: 0.0000 0.7717 0.2283  2 Ge 2.40
Pd: 0.0000 0.2283 0.7717  2 Ge 2.40
Pd: 0.5000 0.0659 0.3076  2 Ge 2.48-2.60, 2 Pd 2.73-2.75
Pd: 0.5000 0.9341 0.6924  2 Ge 2.48-2.60, 2 Pd 2.73-2.75
Pd: 0.5000 0.3076 0.0659  2 Ge 2.48-2.60, 2 Pd 2.73-2.75
Pd: 0.5000 0.6924 0.9341  2 Ge 2.48-2.60, 2 Pd 2.73-2.75
Pd: 0.5000 0.5000 0.5000  2 Ge 2.40

Computed, not measured: crystalline Ac3La2Nd at its relaxed geometry at the GGA-PBE level of DFT.

Output
Its space group is P2_1/m (11). The value obtained for the magnetic moment is 0.0 Bohr magnetons per cell. As for the excess energy over the best structure of this formula in the dataset: 0.00 eV per formula unit. The energy relative to the elements is 0.0490 eV per atom. For the volume, the calculation gives 246.5 Å³/f.u.

Cell lengths 3.9383, 9.1324, 13.7065 Å; angles 89.90, 90.00, 90.00 degrees
Last column: nearest neighbours and their distance in Å.
Positions (direct):
Ac: 0.7500 0.0885 0.6095  2 Nd 3.71, 4 La 3.83-4.10, 6 Ac 3.94-3.95
Ac: 0.2500 0.9115 0.3905  2 Nd 3.71, 4 La 3.83-4.10, 6 Ac 3.94-3.95
Ac: 0.7500 0.6024 0.2490  1 Nd 3.77, 7 Ac 3.94-4.18, 5 La 3.97-4.21
Ac: 0.2500 0.3976 0.7510  1 Nd 3.77, 7 Ac 3.94-4.18, 5 La 3.97-4.21
Ac: 0.2500 0.3376 0.0535  2 Nd 3.65, 3 La 3.80-3.91, 4 Ac 3.85-3.94
Ac: 0.7500 0.6624 0.9465  2 Nd 3.65, 3 La 3.80-3.91, 4 Ac 3.85-3.94
La: 0.2500 0.3531 0.4452  2 Nd 3.59, 4 La 3.65-3.94, 2 Ac 3.84
La: 0.7500 0.6469 0.5548  2 Nd 3.59, 4 La 3.65-3.94, 2 Ac 3.84
La: 0.7500 0.0819 0.8892  2 Nd 3.74, 6 Ac 3.80-3.97, 4 La 3.91-3.94
La: 0.2500 0.9181 0.1108  2 Nd 3.74, 6 Ac 3.80-3.97, 4 La 3.91-3.94
Nd: 0.2500 0.8101 0.7452  4 La 3.59-3.74, 5 Ac 3.65-3.77, 2 Nd 3.94
Nd: 0.7500 0.1899 0.2548  4 La 3.59-3.74, 5 Ac 3.65-3.77, 2 Nd 3.94